Record 1
DFT (PBE) results for a relaxed structure of Ga2Ge2O.

Cell and atoms, written as CIF:
```
data_Ga2Ge2O
_chemical_formula_sum 'Ga4 Ge4 O2'
_symmetry_space_group_name_H-M 'P 4/m b m'
_symmetry_Int_Tables_number 127
_symmetry_space_group_name_Hall '-P 4 2ab'
_cell_length_a 5.636
_cell_length_b 5.636
_cell_length_c 5.325
_cell_angle_alpha 90.00
_cell_angle_beta 90.00
_cell_angle_gamma 90.00
loop_
_atom_site_label
_atom_site_type_symbol
_atom_site_fract_x
_atom_site_fract_y
_atom_site_fract_z
Ga1 Ga 0.165 0.335 0.000
Ge1 Ge 0.205 0.295 0.500
O1 O 0.000 0.000 0.000
```

Calculated values
- formation energy (no corrections) (eV per atom) = -0.156
- crystal system = tetragonal
- raw total energy (Ry per atom) = -0.309


Record 2
DFT (PBE) results for a relaxed structure of Ca2PmLu.

Cell and atoms, written as CIF:
```
data_Ca2PmLu
_chemical_formula_sum 'Ca2 Pm1 Lu1'
_symmetry_space_group_name_H-M 'P 4/m m m'
_symmetry_Int_Tables_number 123
_symmetry_space_group_name_Hall '-P 4 2'
_cell_length_a 4.121
_cell_length_b 4.121
_cell_length_c 8.359
_cell_angle_alpha 90.00
_cell_angle_beta 90.00
_cell_angle_gamma 90.00
loop_
_atom_site_label
_atom_site_type_symbol
_atom_site_fract_x
_atom_site_fract_y
_atom_site_fract_z
Ca1 Ca 0.000 0.000 0.242
Pm1 Pm 0.500 0.500 0.500
Lu1 Lu 0.500 0.500 0.000
```

Calculated values
- crystal system = tetragonal
- DFT formation energy (meV/atom) = 185
- raw total energy (Ry per atom) = -0.230
- relative energy among the computed polymorphs (meV per atom) = 9


Record 3
DFT (PBE) results for a relaxed structure of MnW2Cl.

Cell and atoms, written as CIF:
```
data_MnW2Cl
_chemical_formula_sum 'Mn1 W2 Cl1'
_symmetry_space_group_name_H-M 'P 1 2/m 1'
_symmetry_Int_Tables_number 10
_symmetry_space_group_name_Hall '-P 2y'
_cell_length_a 2.769
_cell_length_b 4.163
_cell_length_c 5.498
_cell_angle_alpha 90.00
_cell_angle_beta 104.00
_cell_angle_gamma 90.00
loop_
_atom_site_label
_atom_site_type_symbol
_atom_site_fract_x
_atom_site_fract_y
_atom_site_fract_z
Mn1 Mn 0.000 0.000 0.000
W1 W 0.278 0.500 0.765
Cl1 Cl 0.000 0.000 0.500
```

Calculated values
- formation energy (no corrections) (eV per atom) = 0.674
- crystal system = monoclinic
- raw total energy (Ry per atom) = -0.629
- relative energy among the computed polymorphs (meV per atom) = 365


Record 4
DFT (PBE) results for a relaxed structure of CeEr3Ni8.

Cell and atoms, written as CIF:
```
data_CeEr3Ni8
_chemical_formula_sum 'Ce3 Er9 Ni24'
_symmetry_space_group_name_H-M 'R 3 m'
_symmetry_Int_Tables_number 160
_symmetry_space_group_name_Hall 'R 3 -2"'
_cell_length_a 5.0531
_cell_length_b 5.0531
_cell_length_c 24.7230
_cell_angle_alpha 90.00
_cell_angle_beta 90.00
_cell_angle_gamma 120.00
loop_
_atom_site_label
_atom_site_type_symbol
_atom_site_fract_x
_atom_site_fract_y
_atom_site_fract_z
Ce1 Ce 0.0000 0.0000 0.0000
Er1 Er 0.0000 0.0000 0.1263
Er2 Er 0.0000 0.0000 0.5013
Er3 Er 0.0000 0.0000 0.6258
Ni1 Ni 0.0000 0.0000 0.3135
Ni2 Ni 0.0000 0.0000 0.8134
Ni3 Ni 0.0002 0.5001 0.0640
Ni4 Ni 0.1675 0.3350 0.8964
```

Calculated values
- crystal system = trigonal
- DFT formation energy (meV/atom) = -452
- raw total energy (Ry per atom) = -0.437


Record 5
DFT (PBE) results for a relaxed structure of CrW.

Cell and atoms, written as CIF:
```
data_CrW
_chemical_formula_sum 'Cr2 W2'
_symmetry_space_group_name_H-M 'P 4/n m m'
_symmetry_Int_Tables_number 129
_cell_length_a 3.042
_cell_length_b 3.042
_cell_length_c 6.067
_cell_angle_alpha 90.00
_cell_angle_beta 90.00
_cell_angle_gamma 90.00
loop_
_symmetry_equiv_pos_as_xyz
'x,y,z'
'-x,-y,-z'
'-y+1/2,x,z'
'y+1/2,-x,-z'
'-x+1/2,-y+1/2,z'
'x+1/2,y+1/2,-z'
'y,-x+1/2,z'
'-y,x+1/2,-z'
'x+1/2,-y,-z'
'-x+1/2,y,z'
'-y,-x,-z'
'y,x,z'
'-x,y+1/2,-z'
'x,-y+1/2,z'
'y+1/2,x+1/2,-z'
'-y+1/2,-x+1/2,z'
loop_
_atom_site_label
_atom_site_type_symbol
_atom_site_fract_x
_atom_site_fract_y
_atom_site_fract_z
Cr1 Cr 0.250 0.250 0.117
W1 W 0.250 0.250 0.639
```

Calculated values
- crystal system = tetragonal
- DFT formation energy (meV/atom) = 79
- raw total energy (Ry per atom) = -0.824


Record 6
DFT (PBE) results for a relaxed structure of Er2NiCl.

Cell and atoms, written as CIF:
```
data_Er2NiCl
_chemical_formula_sum 'Er6 Ni3 Cl3'
_symmetry_space_group_name_H-M 'R 3 m'
_symmetry_Int_Tables_number 160
_symmetry_space_group_name_Hall 'R 3 -2"'
_cell_length_a 3.8567
_cell_length_b 3.8567
_cell_length_c 22.0906
_cell_angle_alpha 90.00
_cell_angle_beta 90.00
_cell_angle_gamma 120.00
loop_
_atom_site_label
_atom_site_type_symbol
_atom_site_fract_x
_atom_site_fract_y
_atom_site_fract_z
Er1 Er 0.0000 0.0000 0.0000
Er2 Er 0.0000 0.0000 0.2045
Ni1 Ni 0.0000 0.0000 0.6026
Cl1 Cl 0.0000 0.0000 0.7734
```

Calculated values
- formation energy (no corrections) (eV per atom) = -0.893
- crystal system = trigonal
- raw total energy (Ry per atom) = -0.373
- relative energy among the computed polymorphs (meV per atom) = 30


Record 7
DFT (PBE) results for a relaxed structure of K2AlSn2.

Cell and atoms, written as CIF:
```
data_K2AlSn2
_chemical_formula_sum 'K4 Al2 Sn4'
_symmetry_space_group_name_H-M 'P 4/m b m'
_symmetry_Int_Tables_number 127
_symmetry_space_group_name_Hall '-P 4 2ab'
_cell_length_a 7.446
_cell_length_b 7.446
_cell_length_c 5.939
_cell_angle_alpha 90.00
_cell_angle_beta 90.00
_cell_angle_gamma 90.00
loop_
_atom_site_label
_atom_site_type_symbol
_atom_site_fract_x
_atom_site_fract_y
_atom_site_fract_z
K1 K 0.173 0.327 0.000
Al1 Al 0.000 0.000 0.500
Sn1 Sn 0.141 0.641 0.500
```

Calculated values
- crystal system = tetragonal
- DFT formation energy (meV/atom) = -56
- raw total energy (Ry per atom) = -0.209


Record 8
DFT (PBE) results for a relaxed structure of ErPaOs2.

Cell and atoms, written as CIF:
```
data_ErPaOs2
_chemical_formula_sum 'Er4 Pa4 Os8'
_symmetry_space_group_name_H-M 'F m -3 m'
_symmetry_Int_Tables_number 225
_symmetry_space_group_name_Hall '-F 4 2 3'
_cell_length_a 6.845
_cell_length_b 6.845
_cell_length_c 6.845
_cell_angle_alpha 90.00
_cell_angle_beta 90.00
_cell_angle_gamma 90.00
loop_
_atom_site_label
_atom_site_type_symbol
_atom_site_fract_x
_atom_site_fract_y
_atom_site_fract_z
Er1 Er 0.000 0.000 0.000
Pa1 Pa 0.000 0.000 0.500
Os1 Os 0.250 0.250 0.250
```

Calculated values
- crystal system = cubic
- DFT formation energy (meV/atom) = -255
- raw total energy (Ry per atom) = -0.690
- relative energy among the computed polymorphs (meV per atom) = 50


Record 9
DFT (PBE) results for a relaxed structure of LiRePt.

Cell and atoms, written as CIF:
```
data_LiRePt
_chemical_formula_sum 'Li2 Re2 Pt2'
_symmetry_space_group_name_H-M 'P 63/m m c'
_symmetry_Int_Tables_number 194
_symmetry_space_group_name_Hall '-P 6c 2c'
_cell_length_a 4.3375
_cell_length_b 4.3375
_cell_length_c 5.0318
_cell_angle_alpha 90.00
_cell_angle_beta 90.00
_cell_angle_gamma 120.00
loop_
_atom_site_label
_atom_site_type_symbol
_atom_site_fract_x
_atom_site_fract_y
_atom_site_fract_z
Li1 Li 0.3333 0.6667 0.2500
Re1 Re 0.0000 0.0000 0.0000
Pt1 Pt 0.3333 0.6667 0.7500
```

Calculated values
- crystal system = hexagonal
- DFT formation energy (meV/atom) = -28
- raw total energy (Ry per atom) = -0.502
- relative energy among the computed polymorphs (meV per atom) = 225


Record 10
DFT (PBE) results for a relaxed structure of Rb3Hg2Bi4.

Cell and atoms, written as CIF:
```
data_Rb3Hg2Bi4
_chemical_formula_sum 'Rb3 Hg2 Bi4'
_symmetry_space_group_name_H-M 'P -1'
_symmetry_Int_Tables_number 2
_symmetry_space_group_name_Hall '-P 1'
_cell_length_a 5.894
_cell_length_b 7.340
_cell_length_c 10.333
_cell_angle_alpha 103.74
_cell_angle_beta 90.30
_cell_angle_gamma 113.62
loop_
_atom_site_label
_atom_site_type_symbol
_atom_site_fract_x
_atom_site_fract_y
_atom_site_fract_z
Rb1 Rb 0.000 0.000 0.000
Rb2 Rb 0.381 0.763 0.627
Hg1 Hg 0.333 0.670 0.262
Bi1 Bi 0.112 0.221 0.675
Bi2 Bi 0.278 0.554 0.947
```

Calculated values
- crystal system = triclinic
- DFT formation energy (meV/atom) = -219
- raw total energy (Ry per atom) = -0.172
- relative energy among the computed polymorphs (meV per atom) = 22


Record 11
DFT (PBE) results for a relaxed structure of Tb3SmDy2Tm6.

Cell and atoms, written as CIF:
```
data_Tb3SmDy2Tm6
_chemical_formula_sum 'Tb6 Sm2 Dy4 Tm12'
_symmetry_space_group_name_H-M 'C 1 2/m 1'
_symmetry_Int_Tables_number 12
_symmetry_space_group_name_Hall '-C 2y'
_cell_length_a 6.113
_cell_length_b 10.577
_cell_length_c 11.646
_cell_angle_alpha 90.00
_cell_angle_beta 100.03
_cell_angle_gamma 90.00
loop_
_atom_site_label
_atom_site_type_symbol
_atom_site_fract_x
_atom_site_fract_y
_atom_site_fract_z
Tb1 Tb 0.000 0.000 0.000
Tb2 Tb 0.000 0.333 0.000
Sm1 Sm 0.000 0.500 0.500
Dy1 Dy 0.000 0.167 0.500
Tm1 Tm 0.249 0.167 0.250
Tm2 Tm 0.250 0.000 0.750
```

Calculated values
- crystal system = monoclinic
- DFT formation energy (meV/atom) = 21
- raw total energy (Ry per atom) = -0.333


Record 12
DFT (PBE) results for a relaxed structure of CsPAu3.

Cell and atoms, written as CIF:
```
data_CsPAu3
_chemical_formula_sum 'Cs1 P1 Au3'
_symmetry_space_group_name_H-M 'P m -3 m'
_symmetry_Int_Tables_number 221
_symmetry_space_group_name_Hall '-P 4 2 3'
_cell_length_a 6.344
_cell_length_b 6.344
_cell_length_c 6.344
_cell_angle_alpha 90.00
_cell_angle_beta 90.00
_cell_angle_gamma 90.00
loop_
_atom_site_label
_atom_site_type_symbol
_atom_site_fract_x
_atom_site_fract_y
_atom_site_fract_z
Cs1 Cs 0.000 0.000 0.000
P1 P 0.500 0.500 0.500
Au1 Au 0.000 0.000 0.500
```

Calculated values
- crystal system = cubic
- DFT formation energy (meV/atom) = 1701
- raw total energy (Ry per atom) = -0.112
- relative energy among the computed polymorphs (meV per atom) = 1906